Run P
# PBE-GGA SrMoS3, optimized geometry
# Magnetic moment ... 0.400 μB per atom
data_SrMoS3
_chemical_formula_sum 'Sr1 Mo1 S3'
_symmetry_space_group_name_H-M 'P m -3 m'
_symmetry_Int_Tables_number 221
_symmetry_space_group_name_Hall '-P 4 2 3'
_cell_length_a 5.4549
_cell_length_b 5.4549
_cell_length_c 5.4549
_cell_angle_alpha 90.00
_cell_angle_beta 90.00
_cell_angle_gamma 90.00
loop_
_atom_site_label
_atom_site_type_symbol
_atom_site_fract_x
_atom_site_fract_y
_atom_site_fract_z
Sr1 Sr 0.0000 0.0000 0.0000
Mo1 Mo 0.5000 0.5000 0.5000
S1 S 0.0000 0.0000 0.5000


Run Q
# PBE-GGA SrMoS3, optimized geometry
# Magnetic moment ... 0.000 μB per atom
data_SrMoS3
_chemical_formula_sum 'Sr1 Mo1 S3'
_symmetry_space_group_name_H-M 'P m -3 m'
_symmetry_Int_Tables_number 221
_symmetry_space_group_name_Hall '-P 4 2 3'
_cell_length_a 4.7651
_cell_length_b 4.7651
_cell_length_c 4.7651
_cell_angle_alpha 90.00
_cell_angle_beta 90.00
_cell_angle_gamma 90.00
loop_
_atom_site_label
_atom_site_type_symbol
_atom_site_fract_x
_atom_site_fract_y
_atom_site_fract_z
Sr1 Sr 0.0000 0.0000 0.0000
Mo1 Mo 0.5000 0.5000 0.5000
S1 S 0.0000 0.5000 0.5000


So which one is most stable? That would be run Q, about 1850 meV per atom below the next structure.


Run P
# PBE-GGA TaMoS2, optimized geometry
# Magnetic moment ... 0.000 μB per atom
data_TaMoS2
_chemical_formula_sum 'Ta4 Mo4 S8'
_symmetry_space_group_name_H-M 'I -4 2 d'
_symmetry_Int_Tables_number 122
_symmetry_space_group_name_Hall 'I -4 2bw'
_cell_length_a 4.4827
_cell_length_b 4.4827
_cell_length_c 14.2662
_cell_angle_alpha 90.00
_cell_angle_beta 90.00
_cell_angle_gamma 90.00
loop_
_atom_site_label
_atom_site_type_symbol
_atom_site_fract_x
_atom_site_fract_y
_atom_site_fract_z
Ta1 Ta 0.0000 0.0000 0.0000
Mo1 Mo 0.0000 0.0000 0.5000
S1 S 0.2410 0.2500 0.6250


Run Q
# PBE-GGA TaMoS2, optimized geometry
# Magnetic moment ... 0.000 μB per atom
data_TaMoS2
_chemical_formula_sum 'Ta4 Mo4 S8'
_symmetry_space_group_name_H-M 'F m -3 m'
_symmetry_Int_Tables_number 225
_symmetry_space_group_name_Hall '-F 4 2 3'
_cell_length_a 6.1070
_cell_length_b 6.1070
_cell_length_c 6.1070
_cell_angle_alpha 90.00
_cell_angle_beta 90.00
_cell_angle_gamma 90.00
loop_
_atom_site_label
_atom_site_type_symbol
_atom_site_fract_x
_atom_site_fract_y
_atom_site_fract_z
Ta1 Ta 0.0000 0.0000 0.0000
Mo1 Mo 0.0000 0.0000 0.5000
S1 S 0.2500 0.2500 0.2500


So which one is most stable? That would be run Q, about 41 meV per atom below the next structure.


Run P
# PBE-GGA TaMoS3, optimized geometry
# Magnetic moment ... 0.000 μB per atom
data_TaMoS3
_chemical_formula_sum 'Ta1 Mo1 S3'
_symmetry_space_group_name_H-M 'P m -3 m'
_symmetry_Int_Tables_number 221
_symmetry_space_group_name_Hall '-P 4 2 3'
_cell_length_a 4.5952
_cell_length_b 4.5952
_cell_length_c 4.5952
_cell_angle_alpha 90.00
_cell_angle_beta 90.00
_cell_angle_gamma 90.00
loop_
_atom_site_label
_atom_site_type_symbol
_atom_site_fract_x
_atom_site_fract_y
_atom_site_fract_z
Ta1 Ta 0.0000 0.0000 0.0000
Mo1 Mo 0.5000 0.5000 0.5000
S1 S 0.0000 0.5000 0.5000


Run Q
# PBE-GGA TaMoS3, optimized geometry
# Magnetic moment ... 0.920 μB per atom
data_TaMoS3
_chemical_formula_sum 'Ta1 Mo1 S3'
_symmetry_space_group_name_H-M 'P m -3 m'
_symmetry_Int_Tables_number 221
_symmetry_space_group_name_Hall '-P 4 2 3'
_cell_length_a 4.7797
_cell_length_b 4.7797
_cell_length_c 4.7797
_cell_angle_alpha 90.00
_cell_angle_beta 90.00
_cell_angle_gamma 90.00
loop_
_atom_site_label
_atom_site_type_symbol
_atom_site_fract_x
_atom_site_fract_y
_atom_site_fract_z
Ta1 Ta 0.0000 0.0000 0.0000
Mo1 Mo 0.5000 0.5000 0.5000
S1 S 0.0000 0.0000 0.5000


Run R
# PBE-GGA TaMoS3, optimized geometry
# Magnetic moment ... 0.000 μB per atom
data_TaMoS3
_chemical_formula_sum 'Ta4 Mo4 S12'
_symmetry_space_group_name_H-M 'P n m a'
_symmetry_Int_Tables_number 62
_cell_length_a 6.7626
_cell_length_b 9.3207
_cell_length_c 6.4341
_cell_angle_alpha 90.00
_cell_angle_beta 90.00
_cell_angle_gamma 90.00
loop_
_symmetry_equiv_pos_as_xyz
'x,y,z'
'-x,-y,-z'
'-x+1/2,-y,z+1/2'
'x+1/2,y,-z+1/2'
'x+1/2,-y+1/2,-z+1/2'
'-x+1/2,y+1/2,z+1/2'
'-x,y+1/2,-z'
'x,-y+1/2,z'
loop_
_atom_site_label
_atom_site_type_symbol
_atom_site_fract_x
_atom_site_fract_y
_atom_site_fract_z
Ta1 Ta 0.2328 0.2500 0.0293
Mo1 Mo 0.0000 0.0000 0.5000
S1 S 0.0601 0.2500 0.3553
S2 S 0.1843 0.0562 0.8160


Run S
# PBE-GGA TaMoS3, optimized geometry
# Magnetic moment ... 0.000 μB per atom
data_TaMoS3
_chemical_formula_sum 'Ta4 Mo4 S12'
_symmetry_space_group_name_H-M 'P -1'
_symmetry_Int_Tables_number 2
_cell_length_a 6.7453
_cell_length_b 7.3231
_cell_length_c 7.7515
_cell_angle_alpha 85.30
_cell_angle_beta 78.45
_cell_angle_gamma 80.70
loop_
_symmetry_equiv_pos_as_xyz
'x,y,z'
'-x,-y,-z'
loop_
_atom_site_label
_atom_site_type_symbol
_atom_site_fract_x
_atom_site_fract_y
_atom_site_fract_z
Ta1 Ta 0.2346 0.4518 0.0311
Ta2 Ta 0.2490 0.7466 0.7046
Mo1 Mo 0.0442 0.8187 0.1111
Mo2 Mo 0.4606 0.3760 0.6528
S1 S 0.0945 0.4506 0.7608
S2 S 0.1115 0.1353 0.1451
S3 S 0.1794 0.7865 0.4238
S4 S 0.3011 0.0626 0.7317
S5 S 0.3812 0.3481 0.3619
S6 S 0.4202 0.7141 0.0649


So which one is most stable? That would be run S, about 123 meV per atom below the next structure.


Run P
# PBE-GGA TaMo3S, optimized geometry
# Magnetic moment ... 0.000 μB per atom
data_TaMo3S
_chemical_formula_sum 'Ta1 Mo3 S1'
_symmetry_space_group_name_H-M 'P m -3 m'
_symmetry_Int_Tables_number 221
_symmetry_space_group_name_Hall '-P 4 2 3'
_cell_length_a 4.4125
_cell_length_b 4.4125
_cell_length_c 4.4125
_cell_angle_alpha 90.00
_cell_angle_beta 90.00
_cell_angle_gamma 90.00
loop_
_atom_site_label
_atom_site_type_symbol
_atom_site_fract_x
_atom_site_fract_y
_atom_site_fract_z
Ta1 Ta 0.0000 0.0000 0.0000
Mo1 Mo 0.0000 0.5000 0.5000
S1 S 0.5000 0.5000 0.5000


Run Q
# PBE-GGA TaMo3S, optimized geometry
# Magnetic moment ... 0.001 μB per atom
data_TaMo3S
_chemical_formula_sum 'Ta1 Mo3 S1'
_symmetry_space_group_name_H-M 'P m -3 m'
_symmetry_Int_Tables_number 221
_symmetry_space_group_name_Hall '-P 4 2 3'
_cell_length_a 4.8049
_cell_length_b 4.8049
_cell_length_c 4.8049
_cell_angle_alpha 90.00
_cell_angle_beta 90.00
_cell_angle_gamma 90.00
loop_
_atom_site_label
_atom_site_type_symbol
_atom_site_fract_x
_atom_site_fract_y
_atom_site_fract_z
Ta1 Ta 0.0000 0.0000 0.0000
Mo1 Mo 0.0000 0.0000 0.5000
S1 S 0.5000 0.5000 0.5000


So which one is most stable? That would be run P, about 1707 meV per atom below the next structure.